This record from Alexandria describes crystalline PrTl2V3F12 at its relaxed geometry. The functional is PBE with a Hubbard U.

Results
Volume = 883.54 Å³/cell
E = -0.2142 Ha/atom

Unit cell a=7.8114 b=7.8114 c=16.7201 alpha=90.00 beta=90.00 gamma=120.00
Space group R-3m (No. 166, hexagonal axes)
Inequivalent atoms, fractional coordinates:
Pr1 0.0000 0.0000 0.0000 (multiplicity 3)
Tl1 0.0000 0.0000 0.3830 (multiplicity 6)
V1 0.0000 0.5000 0.5000 (multiplicity 9)
F1 0.0152 0.5076 0.3777 (multiplicity 18)
F2 0.0941 0.5471 0.8094 (multiplicity 18)